[1]
Below is a geometry-optimized Pr8Te4AsSe3 structure, with properties calculated at the PBE-GGA level.

Values from the calculation:
ρ ... 6.7 g/cm³

Cell lengths 8.8942, 8.8942, 8.8942 Å; angles 58.93, 58.93, 58.93 degrees
With the nearest neighbours (Å) after each atom.
Positions (direct):
Pr: 0.2396 0.2396 0.2396  3 Se 2.99, 3 Te 3.26
Pr: 0.2442 0.7371 0.7371  1 As 2.96, 2 Se 3.00, 3 Te 3.25-3.29
Pr: 0.2629 0.2629 0.7558  1 As 2.96, 2 Se 3.00, 3 Te 3.25-3.29
Pr: 0.2629 0.7558 0.2629  1 As 2.96, 2 Se 3.00, 3 Te 3.25-3.29
Pr: 0.7371 0.2442 0.7371  1 As 2.96, 2 Se 3.00, 3 Te 3.25-3.29
Pr: 0.7371 0.7371 0.2442  1 As 2.96, 2 Se 3.00, 3 Te 3.25-3.29
Pr: 0.7558 0.2629 0.2629  1 As 2.96, 2 Se 3.00, 3 Te 3.25-3.29
Pr: 0.7604 0.7604 0.7604  3 Se 2.99, 3 Te 3.26
Te: 0.0000 0.0000 0.0000  6 Pr 3.29
Te: 0.0000 0.5000 0.5000  6 Pr 3.25-3.26
Te: 0.5000 0.0000 0.5000  6 Pr 3.25-3.26
Te: 0.5000 0.5000 0.0000  6 Pr 3.25-3.26
As: 0.5000 0.5000 0.5000  6 Pr 2.96
Se: 0.0000 0.0000 0.5000  6 Pr 2.99-3.00
Se: 0.0000 0.5000 0.0000  6 Pr 2.99-3.00
Se: 0.5000 0.0000 0.0000  6 Pr 2.99-3.00

[2]
Below is a geometry-optimized Pr8TeAs3Se4 structure, with properties calculated at the PBE-GGA level.

Values from the calculation:
ρ ... 6.5 g/cm³

Cell lengths 8.6251, 8.6251, 8.6251 Å; angles 60.26, 60.26, 60.26 degrees
With the nearest neighbours (Å) after each atom.
Positions (direct):
Pr: 0.2339 0.7572 0.7572  3 Se 2.97-3.11, 2 As 3.00, 1 Te 3.15
Pr: 0.2428 0.2428 0.7661  3 Se 2.97-3.11, 2 As 3.00, 1 Te 3.15
Pr: 0.2428 0.7661 0.2428  3 Se 2.97-3.11, 2 As 3.00, 1 Te 3.15
Pr: 0.2465 0.2465 0.2465  3 As 3.01, 3 Se 3.10
Pr: 0.7535 0.7535 0.7535  3 As 3.01, 3 Se 3.10
Pr: 0.7572 0.2339 0.7572  3 Se 2.97-3.11, 2 As 3.00, 1 Te 3.15
Pr: 0.7572 0.7572 0.2339  3 Se 2.97-3.11, 2 As 3.00, 1 Te 3.15
Pr: 0.7661 0.2427 0.2428  3 Se 2.97-3.11, 2 As 3.00, 1 Te 3.15
Te: 0.5000 0.5000 0.5000  6 Pr 3.15
As: 0.0000 0.0000 0.5000  6 Pr 3.00-3.01
As: 0.0000 0.5000 0.0000  6 Pr 3.00-3.01
As: 0.5000 0.0000 0.0000  6 Pr 3.00-3.01
Se: 0.0000 0.0000 0.0000  6 Pr 2.97
Se: 0.0000 0.5000 0.5000  6 Pr 3.10-3.11
Se: 0.5000 0.0000 0.5000  6 Pr 3.10-3.11
Se: 0.5000 0.5000 0.0000  6 Pr 3.10-3.11

[3]
Below is a geometry-optimized Pr6Te3AsSe2 structure, with properties calculated at the PBE-GGA level.

Values from the calculation:
ρ ... 6.7 g/cm³

Cell lengths 7.5686, 7.5686, 7.7673 Å; angles 99.34, 99.34, 120.01 degrees
With the nearest neighbours (Å) after each atom.
Positions (direct):
Pr: 0.0732 0.4008 0.2195  1 As 2.96, 2 Se 3.01, 3 Te 3.24-3.28
Pr: 0.2541 0.2541 0.7801  1 As 2.96, 2 Se 3.01, 3 Te 3.25-3.29
Pr: 0.4008 0.0732 0.2195  1 As 2.96, 2 Se 3.01, 3 Te 3.24-3.28
Pr: 0.5992 0.9268 0.7805  1 As 2.96, 2 Se 3.01, 3 Te 3.24-3.28
Pr: 0.7459 0.7459 0.2199  1 As 2.96, 2 Se 3.01, 3 Te 3.25-3.29
Pr: 0.9268 0.5992 0.7805  1 As 2.96, 2 Se 3.01, 3 Te 3.24-3.28
Te: 0.1677 0.8323 0.5000  6 Pr 3.24-3.28
Te: 0.5000 0.5000 0.5000  6 Pr 3.24-3.29
Te: 0.8323 0.1677 0.5000  6 Pr 3.24-3.28
As: 0.0000 0.0000 0.0000  6 Pr 2.96
Se: 0.3335 0.6665 0.0000  6 Pr 3.01
Se: 0.6665 0.3335 0.0000  6 Pr 3.01

[4]
Below is a geometry-optimized Pr6TeAs3Se2 structure, with properties calculated at the PBE-GGA level.

Values from the calculation:
ρ ... 6.5 g/cm³

Cell lengths 9.7313, 9.7313, 8.7183 Å; angles 103.70, 103.70, 25.65 degrees
With the nearest neighbours (Å) after each atom.
Positions (direct):
Pr: 0.0018 0.0018 0.2322  3 As 2.96-3.01, 1 Se 3.12, 2 Te 3.19
Pr: 0.3263 0.3263 0.4209  3 As 2.97-3.03, 2 Se 3.12, 1 Te 3.20
Pr: 0.3355 0.3355 0.9108  3 As 3.02-3.03, 3 Se 3.09-3.11
Pr: 0.6645 0.6645 0.0892  3 As 3.02-3.03, 3 Se 3.09-3.11
Pr: 0.6737 0.6737 0.5791  3 As 2.97-3.03, 2 Se 3.12, 1 Te 3.20
Pr: 0.9982 0.9982 0.7678  3 As 2.96-3.01, 1 Se 3.12, 2 Te 3.19
Te: 0.5000 0.5000 0.5000  6 Pr 3.19-3.20
As: 0.1652 0.1652 0.3319  6 Pr 2.97-3.03
As: 0.5000 0.5000 0.0000  6 Pr 2.96-3.03
As: 0.8348 0.8348 0.6681  6 Pr 2.97-3.03
Se: 0.1675 0.1675 0.8336  6 Pr 3.09-3.12
Se: 0.8325 0.8325 0.1664  6 Pr 3.09-3.12

[5]
Below is a geometry-optimized Pr8Te4As3Se structure, with properties calculated at the PBE-GGA level.

Values from the calculation:
ρ ... 6.6 g/cm³

Cell lengths 8.9483, 8.9483, 8.9483 Å; angles 58.43, 58.43, 58.43 degrees
With the nearest neighbours (Å) after each atom.
Positions (direct):
Pr: 0.2357 0.7425 0.7425  2 As 2.99, 1 Se 3.03, 3 Te 3.23-3.27
Pr: 0.2402 0.2402 0.2402  3 As 3.00, 3 Te 3.26
Pr: 0.2575 0.2575 0.7643  2 As 2.99, 1 Se 3.03, 3 Te 3.23-3.27
Pr: 0.2575 0.7643 0.2575  2 As 2.99, 1 Se 3.03, 3 Te 3.23-3.27
Pr: 0.7425 0.2357 0.7425  2 As 2.99, 1 Se 3.03, 3 Te 3.23-3.27
Pr: 0.7425 0.7425 0.2357  2 As 2.99, 1 Se 3.03, 3 Te 3.23-3.27
Pr: 0.7598 0.7598 0.7598  3 As 3.00, 3 Te 3.26
Pr: 0.7643 0.2575 0.2575  2 As 2.99, 1 Se 3.03, 3 Te 3.23-3.27
Te: 0.0000 0.0000 0.0000  6 Pr 3.23
Te: 0.0000 0.5000 0.5000  6 Pr 3.26-3.27
Te: 0.5000 0.0000 0.5000  6 Pr 3.26-3.27
Te: 0.5000 0.5000 0.0000  6 Pr 3.26-3.27
As: 0.0000 0.0000 0.5000  6 Pr 2.99-3.00
As: 0.0000 0.5000 0.0000  6 Pr 2.99-3.00
As: 0.5000 0.0000 0.0000  6 Pr 2.99-3.00
Se: 0.5000 0.5000 0.5000  6 Pr 3.03

[6]
Below is a geometry-optimized Pr4TeAs2Se structure, with properties calculated at the PBE-GGA level.

Values from the calculation:
ρ ... 6.5 g/cm³

Cell lengths 7.5101, 4.3354, 7.6380 Å; angles 90.00, 109.16, 90.00 degrees
With the nearest neighbours (Å) after each atom.
Positions (direct):
Pr: 0.2357 0.0000 0.2272  3 As 2.97-3.03, 1 Se 3.15, 2 Te 3.20
Pr: 0.2494 0.5000 0.7676  3 As 2.97-3.03, 2 Se 3.14, 1 Te 3.20
Pr: 0.7506 0.5000 0.2324  3 As 2.97-3.03, 2 Se 3.14, 1 Te 3.20
Pr: 0.7643 0.0000 0.7728  3 As 2.97-3.03, 1 Se 3.15, 2 Te 3.20
Te: 0.5000 0.5000 0.5000  6 Pr 3.20
As: 0.0000 0.5000 0.0000  6 Pr 2.97
As: 0.5000 0.0000 0.0000  6 Pr 3.03
Se: 0.0000 0.0000 0.5000  6 Pr 3.14-3.15

[7]
Below is a geometry-optimized Pr8TeAs4Se3 structure, with properties calculated at the PBE-GGA level.

Values from the calculation:
ρ ... 6.5 g/cm³

Cell lengths 8.6935, 8.6935, 8.6935 Å; angles 59.46, 59.46, 59.46 degrees
With the nearest neighbours (Å) after each atom.
Positions (direct):
Pr: 0.2462 0.2462 0.2462  3 As 3.01, 3 Se 3.11
Pr: 0.2511 0.7412 0.7412  3 As 2.95-3.01, 2 Se 3.11, 1 Te 3.17
Pr: 0.2588 0.2588 0.7489  3 As 2.95-3.01, 2 Se 3.11, 1 Te 3.17
Pr: 0.2588 0.7489 0.2588  3 As 2.95-3.01, 2 Se 3.11, 1 Te 3.17
Pr: 0.7412 0.2511 0.7412  3 As 2.95-3.01, 2 Se 3.11, 1 Te 3.17
Pr: 0.7412 0.7412 0.2511  3 As 2.95-3.01, 2 Se 3.11, 1 Te 3.17
Pr: 0.7489 0.2588 0.2588  3 As 2.95-3.01, 2 Se 3.11, 1 Te 3.17
Pr: 0.7538 0.7538 0.7538  3 As 3.01, 3 Se 3.11
Te: 0.0000 0.0000 0.0000  6 Pr 3.17
As: 0.0000 0.0000 0.5000  6 Pr 3.01
As: 0.0000 0.5000 0.0000  6 Pr 3.01
As: 0.5000 0.0000 0.0000  6 Pr 3.01
As: 0.5000 0.5000 0.5000  6 Pr 2.95
Se: 0.0000 0.5000 0.5000  6 Pr 3.11
Se: 0.5000 0.0000 0.5000  6 Pr 3.11
Se: 0.5000 0.5000 0.0000  6 Pr 3.11

[8]
Below is a geometry-optimized Pr8Te3AsSe4 structure, with properties calculated at the PBE-GGA level.

Values from the calculation:
ρ ... 6.6 g/cm³

Cell lengths 8.7543, 8.7543, 8.7543 Å; angles 60.02, 60.02, 60.02 degrees
With the nearest neighbours (Å) after each atom.
Positions (direct):
Pr: 0.2255 0.7557 0.7557  3 Se 2.98-3.17, 1 As 3.03, 2 Te 3.21
Pr: 0.2395 0.2395 0.2395  3 Se 2.97, 3 Te 3.23
Pr: 0.2443 0.2443 0.7745  3 Se 2.98-3.17, 1 As 3.03, 2 Te 3.21
Pr: 0.2443 0.7745 0.2443  3 Se 2.98-3.17, 1 As 3.03, 2 Te 3.21
Pr: 0.7557 0.2255 0.7557  3 Se 2.98-3.17, 1 As 3.03, 2 Te 3.21
Pr: 0.7557 0.7557 0.2255  3 Se 2.98-3.17, 1 As 3.03, 2 Te 3.21
Pr: 0.7605 0.7605 0.7605  3 Se 2.97, 3 Te 3.23
Pr: 0.7745 0.2443 0.2443  3 Se 2.98-3.17, 1 As 3.03, 2 Te 3.21
Te: 0.0000 0.5000 0.5000  6 Pr 3.21-3.23
Te: 0.5000 0.0000 0.5000  6 Pr 3.21-3.23
Te: 0.5000 0.5000 0.0000  6 Pr 3.21-3.23
As: 0.0000 0.0000 0.0000  6 Pr 3.03
Se: 0.0000 0.0000 0.5000  6 Pr 2.97-2.98
Se: 0.0000 0.5000 0.0000  6 Pr 2.97-2.98
Se: 0.5000 0.0000 0.0000  6 Pr 2.97-2.98
Se: 0.5000 0.5000 0.5000  6 Pr 3.17

Respective formation energy (no corrections) values: -1.63, -1.70, -1.63, -1.66, -1.58, -1.62, -1.67, -1.67 eV/atom.